P:
Here is BeCu2H after structural relaxation from Alexandria via LeMat-Bulk. Energies are from GGA-PBE.

a = 3.7286 Å, b = 3.7286 Å, c = 3.7286 Å
α = 60.00°, β = 60.00°, γ = 60.00°
Fractional positions:
Be1 0.0000 0.0000 0.0000
Cu1 0.2500 0.2500 0.2500
Cu2 0.7500 0.7500 0.7500
H1 0.5000 0.5000 0.5000

M_tot = 0.00 μB/f.u.
symmetry = Fm-3m


Q:
Here is BeCu2H after structural relaxation from Alexandria via LeMat-Bulk. Energies are from GGA-PBE.

a = 6.9862 Å, b = 6.9862 Å, c = 6.9862 Å
α = 20.79°, β = 20.79°, γ = 20.79°
Fractional positions:
Be1 0.0000 0.0000 0.0000
Cu1 0.1065 0.1065 0.1065
Cu2 0.8935 0.8935 0.8935
H1 0.5000 0.5000 0.5000

M_tot = 0.00 μB/f.u.
symmetry = R-3m


R:
Here is BeCu2H after structural relaxation from Alexandria via LeMat-Bulk. Energies are from GGA-PBE.

a = 4.5633 Å, b = 4.5633 Å, c = 4.5633 Å
α = 105.89°, β = 105.89°, γ = 116.90°
Fractional positions:
Be1 0.0000 0.0000 0.0000
Be2 0.7500 0.2500 0.5000
Cu1 0.2039 0.6250 0.0789
Cu2 0.3750 0.4539 0.5789
Cu3 0.5461 0.1250 0.9211
Cu4 0.8750 0.7961 0.4211
H1 0.2500 0.7500 0.5000
H2 0.5000 0.5000 0.0000

M_tot = 0.00 μB/f.u.
symmetry = I-42d


Quick look at relative energies in eV/atom: P 0.243; Q 0.100; R 0.000.


P:
Here is BeCuH2 after structural relaxation from Alexandria via LeMat-Bulk. Energies are from GGA-PBE.

a = 3.4013 Å, b = 3.4013 Å, c = 3.4013 Å
α = 60.00°, β = 60.00°, γ = 60.00°
Fractional positions:
Be1 0.0000 0.0000 0.0000
Cu1 0.5000 0.5000 0.5000
H1 0.2500 0.2500 0.2500
H2 0.7500 0.7500 0.7500

M_tot = 0.00 μB/f.u.
symmetry = Fm-3m


Q:
Here is BeCuH2 after structural relaxation from Alexandria via LeMat-Bulk. Energies are from GGA-PBE.

a = 4.7413 Å, b = 4.7413 Å, c = 4.7413 Å
α = 131.78°, β = 131.78°, γ = 70.57°
Fractional positions:
Be1 0.0000 0.0000 0.0000
Be2 0.7500 0.2500 0.5000
Cu1 0.2500 0.7500 0.5000
Cu2 0.5000 0.5000 0.0000
H1 0.0876 0.6250 0.9626
H2 0.3750 0.3376 0.4626
H3 0.6624 0.1250 0.0374
H4 0.8750 0.9124 0.5374

M_tot = 0.00 μB/f.u.
symmetry = I-42d


Quick look at relative energies in eV/atom: P 0.366; Q 0.000.


P:
Here is BeCuH3 after structural relaxation from Alexandria via LeMat-Bulk. Energies are from GGA-PBE.

a = 3.1799 Å, b = 3.1799 Å, c = 3.1799 Å
α = 90.00°, β = 90.00°, γ = 90.00°
Fractional positions:
Be1 0.0000 0.0000 0.0000
Cu1 0.5000 0.5000 0.5000
H1 0.0000 0.0000 0.5000
H2 0.0000 0.5000 0.0000
H3 0.5000 0.0000 0.0000

M_tot = 0.00 μB/f.u.
symmetry = Pm-3m


Q:
Here is BeCuH3 after structural relaxation from Alexandria via LeMat-Bulk. Energies are from GGA-PBE.

a = 3.3044 Å, b = 3.3044 Å, c = 3.3044 Å
α = 90.00°, β = 90.00°, γ = 90.00°
Fractional positions:
Be1 0.0000 0.0000 0.0000
Cu1 0.5000 0.5000 0.5000
H1 0.0000 0.5000 0.5000
H2 0.5000 0.0000 0.5000
H3 0.5000 0.5000 0.0000

M_tot = 0.00 μB/f.u.
symmetry = Pm-3m


Quick look at relative energies in eV/atom: P 0.000; Q 0.204.